Density functional theory data (PBE) for TaP2 after structural relaxation.

Cell and atoms, written as POSCAR:
```
TaP2
1.0
-1.637 1.637 4.030
1.637 -1.637 4.030
1.637 1.637 -4.030
Ta P
1 2
direct
0.000 0.000 0.000
0.333 0.333 0.000
0.667 0.667 0.000
```

Results
total energy	-8.038	eV per atom
energy of formation from the pure elements	-481	meV/atom